## NaHfSb2 (PBE)

Data for a relaxed NaHfSb2 crystal.

Cell lengths 5.156, 5.156, 5.156 Å; angles 60.00, 60.00, 60.00 degrees
Element x y z (fractional)
Na: 0.000 0.000 0.000
Hf: 0.500 0.500 0.500
Sb: 0.250 0.250 0.250
Sb: 0.750 0.750 0.750

## Properties
E_form (uncorrected): -147 meV/atom
energy above the most stable polymorph in this dataset: 213.8 meV per atom